No. 1
# RbHfBi2O6

An optimized crystal structure of RbHfBi2O6 (GGA-PBE, the Alexandria database). Values from VASP.

Results
The value obtained for the volume is 225.08 Å³/f.u. The calculation puts the total magnetization at 0.0000 μB/atom. The calculation puts the total energy at -6.632 eV/atom.

```
&SYSTEM
  ibrav = 0, nat = 20, ntyp = 4
/
ATOMIC_SPECIES
Rb 85.47 Rb.upf
Hf 178.49 Hf.upf
Bi 208.98 Bi.upf
O 16.00 O.upf
ATOMIC_POSITIONS angstrom
Rb 0.1895 -7.9510 1.5672
Rb 6.5624 -1.8988 7.9174
Hf 5.9855 -1.4997 4.1409
Hf 0.7664 -8.3501 5.3437
Bi 3.7611 -6.3119 3.6771
Bi 1.8172 -3.8030 1.7661
Bi 2.9908 -3.5380 5.8075
Bi 4.9347 -6.0468 7.7185
O 5.2734 -7.8649 3.3525
O 0.0090 -2.5794 1.9593
O 1.4785 -1.9850 6.1321
O 6.7429 -7.2704 7.5253
O 2.0854 -7.6639 4.0739
O 1.0264 -5.1965 0.2740
O 4.6665 -2.1859 5.4107
O 5.7255 -4.6534 9.2106
O 4.0697 -5.1409 1.7525
O 2.1304 -4.2820 3.9668
O 2.6822 -4.7089 7.7322
O 4.6215 -5.5678 5.5178
CELL_PARAMETERS angstrom
-0.3319 -2.4518 6.8932
-0.5973 -8.3063 -0.5423
7.6812 0.9082 3.1337
```

=====

No. 2
# V2ZnPdRh

An optimized crystal structure of V2ZnPdRh (GGA-PBE, the Alexandria database). Values from VASP.

Results
The value obtained for the volume is 94.24 Å³/f.u. The calculation puts the total magnetization at 0.0543 μB/atom. The calculation puts the total energy at -5.582 eV/atom. Its formation energy from the elements is 829 meV per atom.

```
&SYSTEM
  ibrav = 0, nat = 5, ntyp = 4
/
ATOMIC_SPECIES
Zn 65.41 Zn.upf
Rh 102.91 Rh.upf
Pd 106.42 Pd.upf
V 50.94 V.upf
ATOMIC_POSITIONS angstrom
Zn -0.7003 -0.5057 -2.1635
Rh 0.0000 0.0000 0.0000
Pd -3.1190 1.5364 -1.8579
V -2.1244 -0.1481 0.7222
V -0.2943 2.1901 -0.4166
CELL_PARAMETERS angstrom
-0.5885 4.3802 -0.8332
-1.4006 -1.0113 -4.3270
-4.2488 -0.2961 1.4445
```

=====

No. 3
# Pu2CuP

An optimized crystal structure of Pu2CuP (GGA-PBE, the Alexandria database). Values from VASP.

Results
The value obtained for the volume is 81.91 Å³/f.u. The calculation puts the total magnetization at 2.8215 μB/atom. The calculation puts the total energy at -9.987 eV/atom. Its formation energy from the elements is -444 meV per atom.

```
&SYSTEM
  ibrav = 0, nat = 4, ntyp = 3
/
ATOMIC_SPECIES
P 30.97 P.upf
Cu 63.55 Cu.upf
Pu 244.00 Pu.upf
ATOMIC_POSITIONS angstrom
P 0.2511 -2.0763 1.3455
Cu 1.6552 -0.3278 3.7816
Pu 2.1620 2.6922 3.7509
Pu 0.6462 0.8047 1.1212
CELL_PARAMETERS angstrom
-1.9870 -1.6905 2.3586
2.4892 -2.4621 0.3324
2.8082 3.4969 4.8721
```

=====

No. 4
# NaTaAs3

An optimized crystal structure of NaTaAs3 (GGA-PBE, the Alexandria database). Values from VASP.

Results
The value obtained for the volume is 128.15 Å³/f.u. The calculation puts the total magnetization at 0.0000 μB/atom. The calculation puts the total energy at -5.468 eV/atom. Its formation energy from the elements is -44 meV per atom.

```
&SYSTEM
  ibrav = 0, nat = 5, ntyp = 3
/
ATOMIC_SPECIES
Na 22.99 Na.upf
As 74.92 As.upf
Ta 180.95 Ta.upf
ATOMIC_POSITIONS angstrom
Na -3.8005 1.7760 1.2108
As -2.2697 -0.7075 -0.8382
As -0.8908 0.0648 2.3573
As -0.6400 2.4186 -0.3083
Ta 0.0000 0.0000 0.0000
CELL_PARAMETERS angstrom
-1.2801 4.8373 -0.6166
-4.5394 -1.4149 -1.6764
-1.7815 0.1295 4.7146
```

=====

No. 5
# TbEr2Pt2

An optimized crystal structure of TbEr2Pt2 (GGA-PBE, the Alexandria database). Values from VASP.

Results
The value obtained for the volume is 119.42 Å³/f.u. The calculation puts the total magnetization at 0.0000 μB/atom. The calculation puts the total energy at -6.191 eV/atom. Its formation energy from the elements is -1023 meV per atom.

```
&SYSTEM
  ibrav = 0, nat = 10, ntyp = 3
/
ATOMIC_SPECIES
Tb 158.93 Tb.upf
Er 167.26 Er.upf
Pt 195.08 Pt.upf
ATOMIC_POSITIONS angstrom
Tb 1.5149 1.1562 9.8814
Tb 2.4248 3.4687 3.4184
Er 0.2114 1.1562 1.3787
Er 3.7283 3.4687 11.9211
Er 2.8209 1.1562 6.0023
Er 1.1188 3.4687 7.2974
Pt 0.6528 1.1562 4.2578
Pt 3.2869 3.4687 9.0420
Pt 1.9456 1.1562 12.6908
Pt 1.9941 3.4687 0.6090
CELL_PARAMETERS angstrom
3.7141 0.0000 -0.5694
0.0000 4.6250 0.0000
0.2256 0.0000 13.8692
```

=====

No. 6
# LiTa2Tl

An optimized crystal structure of LiTa2Tl (GGA-PBE, the Alexandria database). Values from VASP.

Results
The value obtained for the volume is 77.00 Å³/f.u. The calculation puts the total magnetization at 0.0000 μB/atom. The calculation puts the total energy at -6.090 eV/atom. Its formation energy from the elements is 906 meV per atom.

```
&SYSTEM
  ibrav = 0, nat = 8, ntyp = 3
/
ATOMIC_SPECIES
Tl 204.38 Tl.upf
Li 6.94 Li.upf
Ta 180.95 Ta.upf
ATOMIC_POSITIONS angstrom
Tl 0.0000 0.0000 0.0000
Tl 1.6502 -7.6349 3.6581
Li 2.7111 -3.9054 2.5405
Li 4.7918 -3.9319 5.9979
Ta 0.7225 -5.6299 1.8769
Ta 3.8540 -2.1062 4.2214
Ta 2.8671 -5.7484 5.3942
Ta 5.4403 -9.6490 7.8196
CELL_PARAMETERS angstrom
-0.4305 -7.6083 0.2007
5.8527 -0.2024 4.8803
1.0198 -3.7560 4.5750
```

=====

No. 7
# MgCdW2

An optimized crystal structure of MgCdW2 (GGA-PBE, the Alexandria database). Values from VASP.

Results
The value obtained for the volume is 70.08 Å³/f.u. The calculation puts the total magnetization at 0.0000 μB/atom. The calculation puts the total energy at -6.576 eV/atom. Its formation energy from the elements is 528 meV per atom.

```
&SYSTEM
  ibrav = 0, nat = 4, ntyp = 3
/
ATOMIC_SPECIES
Cd 112.41 Cd.upf
Mg 24.30 Mg.upf
W 183.84 W.upf
ATOMIC_POSITIONS angstrom
Cd 1.3719 2.3310 1.3696
Mg 1.3719 2.3310 4.1089
W 0.0000 0.0000 5.4054
W 0.0000 0.0000 2.8125
CELL_PARAMETERS angstrom
2.7437 0.0000 0.0000
0.0000 4.6620 0.0000
0.0000 0.0000 5.4786
```

=====

No. 8
# Na2MnZnH6

An optimized crystal structure of Na2MnZnH6 (GGA-PBE, the Alexandria database). Values from VASP.

Results
The value obtained for the volume is 92.32 Å³/f.u. The calculation puts the total magnetization at 0.2410 μB/atom. The calculation puts the total energy at -3.333 eV/atom.

```
&SYSTEM
  ibrav = 0, nat = 10, ntyp = 4
/
ATOMIC_SPECIES
Na 22.99 Na.upf
Mn 54.94 Mn.upf
Zn 65.41 Zn.upf
H 1.01 H.upf
ATOMIC_POSITIONS angstrom
Na 5.0646 2.5329 1.8057
Na 2.5224 5.0709 1.8053
Mn 0.0000 0.0000 0.0000
Zn 2.5263 2.5356 0.0035
H 2.5193 2.5302 1.8850
H 6.3780 6.3808 3.5991
H 1.2063 3.8511 0.0055
H 6.3806 3.7528 3.6055
H 1.2090 1.2230 0.0119
H 5.0677 5.0736 1.7260
CELL_PARAMETERS angstrom
5.0544 -0.0018 0.0116
-0.0019 5.0731 -0.0045
2.5344 2.5325 3.6039
```

=====

No. 9
# ZnFe2Cl

An optimized crystal structure of ZnFe2Cl (GGA-PBE, the Alexandria database). Values from VASP.

Results
The value obtained for the volume is 56.75 Å³/f.u. The calculation puts the total magnetization at 1.4143 μB/atom. The calculation puts the total energy at -4.774 eV/atom.

```
&SYSTEM
  ibrav = 0, nat = 4, ntyp = 3
/
ATOMIC_SPECIES
Zn 65.41 Zn.upf
Fe 55.84 Fe.upf
Cl 35.45 Cl.upf
ATOMIC_POSITIONS angstrom
Zn 5.8096 1.0469 0.6175
Fe 0.0707 0.0127 0.0075
Fe 11.5485 2.0811 1.2276
Cl 17.4288 3.1408 1.8526
CELL_PARAMETERS angstrom
8.0864 -0.0047 -0.0028
7.5760 2.8273 -0.0028
7.5760 1.3653 2.4758
```

=====

No. 10
# PrNd2SmTm

An optimized crystal structure of PrNd2SmTm (GGA-PBE, the Alexandria database). Values from VASP.

Results
The value obtained for the volume is 175.96 Å³/f.u. The calculation puts the total magnetization at 0.0000 μB/atom. The calculation puts the total energy at -4.430 eV/atom. Its formation energy from the elements is 271 meV per atom.

```
&SYSTEM
  ibrav = 0, nat = 10, ntyp = 4
/
ATOMIC_SPECIES
Pr 140.91 Pr.upf
Nd 144.24 Nd.upf
Sm 150.36 Sm.upf
Tm 168.93 Tm.upf
ATOMIC_POSITIONS angstrom
Pr 0.0000 0.0000 0.0000
Pr 0.3073 -1.9811 2.4316
Nd 3.9020 -7.6743 -0.9248
Nd 0.9899 -6.8186 0.0639
Nd 4.6149 -3.8281 -1.9658
Nd 1.7027 -2.9724 -0.9771
Sm -1.3468 -3.7336 -0.8295
Sm -0.6921 -5.0795 2.0758
Tm 3.8481 -4.6830 1.4809
Tm 1.7567 -5.9637 -3.3828
CELL_PARAMETERS angstrom
-2.6533 -4.8508 -3.6169
7.6436 -1.8336 -3.1481
0.6145 -3.9623 4.8632
```

=====

No. 11
# TaGa2Cl8

An optimized crystal structure of TaGa2Cl8 (GGA-PBE, the Alexandria database). Values from VASP.

Results
The value obtained for the volume is 348.01 Å³/f.u. The calculation puts the total magnetization at 0.0000 μB/atom. The calculation puts the total energy at -4.026 eV/atom.

```
&SYSTEM
  ibrav = 0, nat = 11, ntyp = 3
/
ATOMIC_SPECIES
Cl 35.45 Cl.upf
Ga 69.72 Ga.upf
Ta 180.95 Ta.upf
ATOMIC_POSITIONS angstrom
Cl -6.9448 3.2662 0.4412
Cl -3.0106 6.9845 1.1135
Cl -1.7619 6.3655 -2.7877
Cl -3.2268 3.6229 -1.1730
Cl -5.6960 2.6472 -3.4600
Cl -7.2140 7.2279 2.2328
Cl -1.4927 2.4038 -4.5793
Cl -5.4799 6.0088 -1.1735
Ga -4.4853 4.6314 0.6158
Ga -4.2213 5.0003 -2.9623
Ta 0.0000 0.0000 0.0000
CELL_PARAMETERS angstrom
-0.2217 1.3568 -6.2389
-7.4234 1.1311 1.4043
-1.0616 7.1438 2.4881
```

=====

No. 12
# YFeMo

An optimized crystal structure of YFeMo (GGA-PBE, the Alexandria database). Values from VASP.

Results
The value obtained for the volume is 54.48 Å³/f.u. The calculation puts the total magnetization at 0.5028 μB/atom. The calculation puts the total energy at -8.549 eV/atom. Its formation energy from the elements is 37 meV per atom.

```
&SYSTEM
  ibrav = 0, nat = 18, ntyp = 3
/
ATOMIC_SPECIES
Y 88.91 Y.upf
Mo 95.94 Mo.upf
Fe 55.84 Fe.upf
ATOMIC_POSITIONS angstrom
Y 4.9003 -1.8013 13.1756
Y 1.3337 -1.1395 3.6225
Y 4.1414 3.9089 10.8284
Y 2.0926 -6.8497 5.9698
Y 2.4037 0.7845 6.3686
Y 3.8303 -3.7253 10.4295
Mo 3.5293 -2.1185 5.7165
Mo 1.0200 -2.0654 6.6570
Mo 2.6840 -4.0351 7.3887
Mo 2.7047 -0.8223 11.0816
Mo 5.2140 -0.8754 10.1411
Mo 3.5500 1.0943 9.4095
Fe 4.5485 1.1036 12.0730
Fe 1.6855 -4.0444 4.7251
Fe 1.6478 -1.9505 0.7245
Fe -0.8370 -1.8979 1.6558
Fe 0.8107 -3.8484 2.3803
Fe 3.1170 -1.4704 8.3991
CELL_PARAMETERS angstrom
-1.6741 -3.7958 3.3117
3.2956 -3.9010 1.4490
4.6125 4.7561 12.0375
```